# LuTcNiSb (PBE, relaxed)
data_LuTcNiSb
_chemical_formula_sum 'Lu4 Tc4 Ni4 Sb4'
_cell_length_a 6.4872
_cell_length_b 6.4872
_cell_length_c 6.4872
_cell_angle_alpha 90.00
_cell_angle_beta 90.00
_cell_angle_gamma 90.00
_symmetry_space_group_name_H-M 'F -4 3 m'
_symmetry_Int_Tables_number 216
_symmetry_space_group_name_Hall 'F -4 2 3'
loop_
_atom_site_label
_atom_site_type_symbol
_atom_site_fract_x
_atom_site_fract_y
_atom_site_fract_z
_atom_site_occupancy
Lu1 Lu 0.0000 0.0000 0.0000 1
Tc1 Tc 0.2500 0.2500 0.2500 1
Ni1 Ni 0.2500 0.2500 0.7500 1
Sb1 Sb 0.0000 0.0000 0.5000 1
# Calculated density   11.031 g cm⁻³
# Electronic total energy   -101.73 eV per cell
# Total magnetization   0.037 μB per atom
# V   273.0 Å³/cell